A relaxed structure of Zn3Co2C12N12, computed with PBE.

Unit cell a=7.338 b=7.338 c=10.344 alpha=90.00 beta=90.00 gamma=90.00
Each line ends with the local moment (μB).
Atoms (fractional coordinates):
C: 0.321 0.182 0.751  0.00
C: 0.000 0.500 0.435  0.00
C: 0.818 0.679 0.249  0.00
C: 0.182 0.321 0.249  0.00
N: 0.788 0.298 0.759  0.02
Co: 0.500 0.000 0.747  0.35
N: 0.702 0.788 0.241  0.02
Zn: 0.500 0.000 0.250  0.00
N: 0.000 0.500 0.960  0.02
C: 0.500 0.000 0.565  0.00
N: 0.788 0.702 0.759  0.02
N: 0.298 0.212 0.241  0.02
N: 0.500 0.000 0.040  0.02
C: 0.500 0.000 0.927  0.00
C: 0.321 0.818 0.751  0.00
C: 0.679 0.818 0.751  0.00
C: 0.679 0.182 0.751  0.00
N: 0.702 0.212 0.241  0.02
Co: 0.000 0.500 0.253  0.35
N: 0.298 0.788 0.241  0.02
N: 0.500 0.000 0.452  0.03
N: 0.212 0.298 0.759  0.02
C: 0.818 0.321 0.249  0.00
Zn: 0.000 0.500 0.750  0.00
N: 0.000 0.500 0.548  0.03
C: 0.000 0.500 0.073  0.00
Zn: 0.500 0.500 0.000  0.27
C: 0.182 0.679 0.249  0.00
N: 0.212 0.702 0.759  0.02

Properties
Space group: P-4m2
Raw formation energy, kcal/mol of atoms: 10.07
Calculated total energy, eV/atom: -7.45
Density, g/cm3: 1.867
Total magnetization, μB per formula unit: 1.523